Entry from Alexandria via LeMat-Bulk: crystalline Li3V4FeO12 at its relaxed geometry (GGA+U).

Properties
relative energy among the computed polymorphs: 0 meV/atom
electronic total energy: -0.5122 Ry/atom
SG: P1 (1)

Cell: 5.642 6.893 6.895 Å, 103.44 72.88 107.16°
Fractional coordinates of all 20 atoms:
O (0.314, 0.651, 0.891)
O (0.633, 0.015, 0.805)
O (0.553, 0.362, 0.683)
O (0.948, 0.683, 0.363)
O (0.826, 0.397, 0.024)
O (0.867, 0.805, 0.016)
O (0.331, 0.004, 0.206)
O (0.168, 0.206, 0.005)
O (0.186, 0.890, 0.652)
O (0.439, 0.594, 0.297)
O (0.061, 0.297, 0.593)
O (0.673, 0.023, 0.396)
Fe (0.250, 0.931, 0.930)
Li (0.250, 0.288, 0.287)
Li (0.751, 0.092, 0.091)
Li (0.750, 0.732, 0.732)
V (0.771, 0.623, 0.180)
V (0.198, 0.386, 0.841)
V (0.302, 0.841, 0.386)
V (0.729, 0.180, 0.623)